# 1
The following is a GGA-PBEsol calculation of a geometry-optimized BeTe2H structure, from Alexandria via LeMat-Bulk.

Calculated values
N(E_F) in states/eV/f.u.: 1.83
Total DFT energy (no corrections) in eV/atom: -2.86

Cell lengths 3.4445, 3.4445, 22.7339 Å; angles 90.00, 90.00, 120.00 degrees
Space group R-3m (No. 166, hexagonal axes)
Asymmetric unit:
Be (0.0000, 0.0000, 0.0000) [3 per cell]
Te (0.0000, 0.0000, 0.1004) [6 per cell]
H (0.0000, 0.0000, 0.5000) [3 per cell]


# 2
The following is a GGA-PBEsol calculation of a geometry-optimized Ti3BeH structure, from Alexandria via LeMat-Bulk.

Calculated values
N(E_F) in states/eV/f.u.: 2.40
Total DFT energy (no corrections) in eV/atom: -6.64

Cell lengths 3.913, 3.913, 3.913 Å; angles 90.00, 90.00, 90.00 degrees
Space group Pm-3m (No. 221)
Asymmetric unit:
Ti (0.000, 0.000, 0.500) [3 per cell]
Be (0.500, 0.500, 0.500) [1 per cell]
H (0.000, 0.000, 0.000) [1 per cell]


# 3
The following is a GGA-PBEsol calculation of a geometry-optimized Ti2BeH2 structure, from Alexandria via LeMat-Bulk.

Calculated values
N(E_F) in states/eV/f.u.: 2.72
Total DFT energy (no corrections) in eV/atom: -5.76

Cell lengths 3.211, 3.211, 8.920 Å; angles 90.00, 90.00, 90.00 degrees
Space group I4/mmm (No. 139)
Asymmetric unit:
Ti (0.000, 0.000, 0.146) [4 per cell]
Be (0.000, 0.000, 0.500) [2 per cell]
H (0.000, 0.500, 0.250) [4 per cell]


# 4
The following is a GGA-PBEsol calculation of a geometry-optimized Be2TlH structure, from Alexandria via LeMat-Bulk.

Calculated values
N(E_F) in states/eV/f.u.: 1.14
Total DFT energy (no corrections) in eV/atom: -3.05

Cell lengths 4.289, 4.289, 10.189 Å; angles 90.00, 90.00, 90.00 degrees
Space group I4_1/amd (No. 141, origin choice 2)
Asymmetric unit:
Be (0.000, 0.000, 0.000) [8 per cell]
Tl (0.000, 0.250, 0.375) [4 per cell]
H (0.000, 0.250, 0.875) [4 per cell]


# 5
The following is a GGA-PBEsol calculation of a geometry-optimized Be3VH structure, from Alexandria via LeMat-Bulk.

Calculated values
N(E_F) in states/eV/f.u.: 1.68
Total DFT energy (no corrections) in eV/atom: -4.86

Cell lengths 3.386, 3.386, 3.386 Å; angles 90.00, 90.00, 90.00 degrees
Space group Pm-3m (No. 221)
Asymmetric unit:
Be (0.000, 0.000, 0.500) [3 per cell]
V (0.500, 0.500, 0.500) [1 per cell]
H (0.000, 0.000, 0.000) [1 per cell]


# 6
The following is a GGA-PBEsol calculation of a geometry-optimized BeVH structure, from Alexandria via LeMat-Bulk.

Calculated values
N(E_F) in states/eV/f.u.: 0.36
Total DFT energy (no corrections) in eV/atom: -5.91

Cell lengths 3.111, 8.709, 3.293 Å; angles 90.00, 90.00, 90.00 degrees
Space group Cmcm (No. 63)
Asymmetric unit:
Be (0.000, 0.067, 0.250) [4 per cell]
V (0.000, 0.350, 0.250) [4 per cell]
H (0.000, 0.261, 0.750) [4 per cell]


# 7
The following is a GGA-PBEsol calculation of a geometry-optimized BeZnH2 structure, from Alexandria via LeMat-Bulk.

Calculated values
N(E_F) in states/eV/f.u.: 0.67
Total DFT energy (no corrections) in eV/atom: -2.31
Energy above the lowest structure with this stoichiometry in kJ per mole of atoms: 38.0

Cell lengths 4.944, 4.944, 4.944 Å; angles 90.00, 90.00, 90.00 degrees
Space group Fm-3m (No. 225)
Asymmetric unit:
Be (0.000, 0.000, 0.000) [4 per cell]
Zn (0.000, 0.000, 0.500) [4 per cell]
H (0.250, 0.250, 0.250) [8 per cell]


# 8
The following is a GGA-PBEsol calculation of a geometry-optimized Be2ZnH structure, from Alexandria via LeMat-Bulk.

Calculated values
N(E_F) in states/eV/f.u.: 0.74
Total DFT energy (no corrections) in eV/atom: -2.82

Cell lengths 4.259, 4.259, 8.055 Å; angles 90.00, 90.00, 90.00 degrees
Space group I4_1/amd (No. 141, origin choice 2)
Asymmetric unit:
Be (0.000, 0.000, 0.000) [8 per cell]
Zn (0.000, 0.250, 0.375) [4 per cell]
H (0.000, 0.250, 0.875) [4 per cell]


# 9
The following is a GGA-PBEsol calculation of a geometry-optimized BeZnH2 structure, from Alexandria via LeMat-Bulk.

Calculated values
N(E_F) in states/eV/f.u.: 0.20
Total DFT energy (no corrections) in eV/atom: -2.70
Energy above the lowest structure with this stoichiometry in kJ per mole of atoms: 0.0

Cell lengths 6.761, 6.761, 6.761 Å; angles 90.00, 90.00, 90.00 degrees
Space group Fd-3m (No. 227, origin choice 2)
Asymmetric unit:
Be (0.125, 0.125, 0.125) [8 per cell]
Zn (0.125, 0.125, 0.625) [8 per cell]
H (0.000, 0.000, 0.000) [16 per cell]


# 10
The following is a GGA-PBEsol calculation of a geometry-optimized ZrBeH3 structure, from Alexandria via LeMat-Bulk.

Calculated values
N(E_F) in states/eV/f.u.: 1.51
Total DFT energy (no corrections) in eV/atom: -4.28

Cell lengths 3.691, 3.691, 3.691 Å; angles 90.00, 90.00, 90.00 degrees
Space group Pm-3m (No. 221)
Asymmetric unit:
Zr (0.000, 0.000, 0.000) [1 per cell]
Be (0.500, 0.500, 0.500) [1 per cell]
H (0.000, 0.000, 0.500) [3 per cell]


# 11
The following is a GGA-PBEsol calculation of a geometry-optimized Hf2Be17 structure, from Alexandria via LeMat-Bulk.

Calculated values
N(E_F) in states/eV/f.u.: 3.73
Total DFT energy (no corrections) in eV/atom: -4.91
Calculated formation energy in eV/atom: -0.22

Cell lengths 7.4346, 7.4346, 10.8517 Å; angles 90.00, 90.00, 120.00 degrees
Space group R-3m (No. 166, hexagonal axes)
Asymmetric unit:
Hf (0.0000, 0.0000, 0.1625) [6 per cell]
Be (0.0000, 0.0000, 0.4031) [6 per cell]
Be (0.0000, 0.2894, 0.5000) [18 per cell]
Be (0.0000, 0.5000, 0.0000) [9 per cell]
Be (0.0023, 0.5011, 0.6571) [18 per cell]


# 12
The following is a GGA-PBEsol calculation of a geometry-optimized HfBe structure, from Alexandria via LeMat-Bulk.

Calculated values
N(E_F) in states/eV/f.u.: 2.55
Total DFT energy (no corrections) in eV/atom: -7.32
Calculated formation energy in eV/atom: -0.06

Cell lengths 3.257, 9.950, 3.729 Å; angles 90.00, 90.00, 90.00 degrees
Space group Cmcm (No. 63)
Asymmetric unit:
Hf (0.000, 0.153, 0.250) [4 per cell]
Be (0.000, 0.439, 0.250) [4 per cell]